# PBE TlAuI2F, relaxed
# Crystal system: tetragonal
# Energy above the most stable polymorph in this dataset, meV/atom: 358
# Uncorrected formation energy, eV per atom: -0.21
# Total energy, eV/atom: -2.334
data_TlAuI2F
_chemical_formula_sum 'Tl1 Au1 I2 F1'
_cell_length_a 6.104
_cell_length_b 6.104
_cell_length_c 4.234
_cell_angle_alpha 90.00
_cell_angle_beta 90.00
_cell_angle_gamma 90.00
_symmetry_space_group_name_H-M 'P 4/m m m'
_symmetry_Int_Tables_number 123
_symmetry_space_group_name_Hall '-P 4 2'
loop_
_atom_site_label
_atom_site_type_symbol
_atom_site_fract_x
_atom_site_fract_y
_atom_site_fract_z
Tl1 Tl 0.000 0.000 0.000
Au1 Au 0.500 0.500 0.000
I1 I 0.000 0.500 0.500
F1 F 0.500 0.500 0.500